## Ho3Al3Ni2 (PBE)

Data for crystalline Ho3Al3Ni2 at its relaxed geometry.

```
32
Lattice="7.8268 0.0000 0.0000 0.0000 14.8600 0.0000 0.0000 0.0000 5.4598" Properties=species:S:1:pos:R:3 pbc="T T T"
Ho 0.2840 1.6526 0.5969
Ho 0.2840 5.7774 0.5969
Ho 1.4166 3.7150 3.3843
Ho 2.4968 11.1450 0.6545
Ho 3.6294 9.0826 3.3267
Ho 3.6294 13.2074 3.3267
Ho 4.1974 1.6526 2.1330
Ho 4.1974 5.7774 2.1330
Ho 5.3300 3.7150 4.8053
Ho 6.4102 11.1450 2.0754
Ho 7.5428 9.0826 4.8629
Ho 7.5428 13.2074 4.8629
Al 1.3016 11.1450 3.3056
Al 1.3824 0.5132 3.3088
Al 1.3824 6.9168 3.3088
Al 2.5310 7.9432 0.5789
Al 2.5310 14.3468 0.5789
Al 2.6118 3.7150 0.5757
Al 5.2150 11.1450 4.8841
Al 5.2958 0.5132 4.8809
Al 5.2958 6.9168 4.8809
Al 6.4444 7.9432 2.1510
Al 6.4444 14.3468 2.1510
Al 6.5253 3.7150 2.1542
Ni 0.8523 9.0195 2.0449
Ni 0.8523 13.2705 2.0449
Ni 3.0611 1.5895 4.7748
Ni 3.0611 5.8405 4.7748
Ni 4.7657 9.0195 0.6850
Ni 4.7657 13.2705 0.6850
Ni 6.9745 1.5895 3.4149
Ni 6.9745 5.8405 3.4149
```

The value obtained for the volume is 19.84 Å³ per atom. As for the space group: Pnma, No. 62. For the formation energy, the calculation gives -0.507 eV/atom. Its density of states at the Fermi level is 28.24 states/eV per cell.

***

## Pm4DyHo2Th (PBE)

Data for crystalline Pm4DyHo2Th at its relaxed geometry.

```
8
Lattice="6.0147 0.0000 0.0000 0.0000 6.0147 0.0000 0.0000 0.0000 7.2933" Properties=species:S:1:pos:R:3 pbc="T T T"
Pm 0.0000 3.0074 1.8094
Pm 0.0000 3.0074 5.4839
Pm 3.0074 0.0000 1.8094
Pm 3.0074 0.0000 5.4839
Dy 0.0000 0.0000 3.6466
Ho 0.0000 0.0000 0.0000
Ho 3.0074 3.0074 3.6466
Th 3.0074 3.0074 0.0000
```

The value obtained for the volume is 32.98 Å³ per atom. As for the space group: P4/mmm, No. 123. For the formation energy, the calculation gives 0.139 eV/atom. Its density of states at the Fermi level is 15.97 states/eV per cell.

***

## TlNiBrCl2 (PBE)

Data for crystalline TlNiBrCl2 at its relaxed geometry.

```
5
Lattice="4.7807 0.0000 0.0000 0.0000 4.7807 0.0000 0.0000 0.0000 5.0962" Properties=species:S:1:pos:R:3 pbc="T T T"
Tl 0.0000 0.0000 0.0000
Ni 2.3904 2.3904 2.5481
Br 2.3904 2.3904 0.0000
Cl 0.0000 2.3904 2.5481
Cl 2.3904 0.0000 2.5481
```

The value obtained for the volume is 23.30 Å³ per atom. As for the space group: P4/mmm, No. 123. Its formation energy without anion corrections is -0.595 eV/atom. Its density of states at the Fermi level is 3.42 states/eV per cell.

***

## CaCuOs (PBE)

Data for crystalline CaCuOs at its relaxed geometry.

```
3
Lattice="4.6977 0.0000 0.0000 -2.3488 4.0683 0.0000 0.0000 0.0000 2.7178" Properties=species:S:1:pos:R:3 pbc="T T T"
Ca 0.0000 0.0000 0.0000
Cu 0.0000 2.7122 1.3450
Os 2.3488 1.3561 1.3667
```

The value obtained for the volume is 17.31 Å³ per atom. As for the space group: P3m1, No. 156. For the formation energy, the calculation gives 0.522 eV/atom. Its density of states at the Fermi level is 3.56 states/eV per cell.

***

## CaLaSm2Y4 (PBE)

Data for crystalline CaLaSm2Y4 at its relaxed geometry.

```
16
Lattice="-3.4539 6.0303 6.7485 3.4539 -6.0303 6.7485 3.4539 6.0303 -6.7485" Properties=species:S:1:pos:R:3 pbc="T T T"
Ca -1.7270 3.0152 3.3743
Ca 1.7270 3.0152 3.3743
La 0.0000 0.0000 0.0000
La 0.0000 6.0303 0.0000
Sm 1.7270 3.0152 -3.3743
Sm 1.7270 -3.0152 3.3743
Sm 3.4539 0.0000 0.0000
Sm 0.0000 0.0000 6.7485
Y 3.4539 -0.1462 3.3601
Y 3.4539 5.8841 -3.3601
Y 1.7456 3.0152 -0.0187
Y 5.1622 3.0152 -0.0187
Y -1.7083 3.0152 6.7673
Y 1.7083 3.0152 6.7673
Y 0.0000 0.1462 10.1087
Y 0.0000 6.1766 3.3884
```

The value obtained for the volume is 35.14 Å³ per atom. As for the space group: Imma, No. 74. For the formation energy, the calculation gives 0.409 eV/atom. Its density of states at the Fermi level is 36.68 states/eV per cell.

***

## AcEuPd (PBE)

Data for crystalline AcEuPd at its relaxed geometry.

```
3
Lattice="-1.9017 1.9017 6.6984 1.9017 -1.9017 6.6984 1.9017 1.9017 -6.6984" Properties=species:S:1:pos:R:3 pbc="T T T"
Ac 0.0000 0.0000 0.0000
Eu 0.0000 0.0000 9.8736
Pd 0.0000 0.0000 5.0288
```

The value obtained for the volume is 32.30 Å³ per atom. As for the space group: I4mm, No. 107. For the formation energy, the calculation gives -0.460 eV/atom. Its density of states at the Fermi level is 5.82 states/eV per cell.

***

Number 3 is which compound? TlNiBrCl2